1.
Sr2CdI | PBE-GGA | relaxed

Output
For the excess energy over the best structure of this formula in the dataset, the calculation gives 210.2 meV per atom. The total magnetic moment comes out at 1.39 μB per formula unit. As for the symmetry: Fm-3m (225). The uncorrected formation energy is -0.515 eV/atom.

a b c (Å): 5.966 5.966 5.966
angles (deg): 60.00 60.00 60.00
Fractional positions:
1 I 0.500 0.500 0.500
2 Sr 0.250 0.250 0.250
3 Sr 0.750 0.750 0.750
4 Cd 0.000 0.000 0.000

2.
Ca2MgSb | PBE-GGA | relaxed

Output
For the excess energy over the best structure of this formula in the dataset, the calculation gives 115.6 meV per atom. The total magnetic moment comes out at 0.00 μB per formula unit. As for the symmetry: Fm-3m (225). The uncorrected formation energy is -0.458 eV/atom.

a b c (Å): 5.499 5.499 5.499
angles (deg): 60.00 60.00 60.00
Fractional positions:
1 Ca 0.750 0.750 0.750
2 Mg 0.000 0.000 0.000
3 Ca 0.250 0.250 0.250
4 Sb 0.500 0.500 0.500

3.
AlTe3 | PBE-GGA | relaxed

Output
The total magnetic moment comes out at 0.00 μB per formula unit. As for the symmetry: P4/mmm (123). The uncorrected formation energy is 0.166 eV/atom.

a b c (Å): 3.621 3.621 8.149
angles (deg): 90.00 90.00 90.00
Fractional positions:
1 Te 0.500 0.500 0.189
2 Te 0.500 0.500 0.811
3 Al 0.000 0.000 0.000
4 Te 0.000 0.000 0.500

4.
LiBrO2 | PBE-GGA | relaxed

Output
For the excess energy over the best structure of this formula in the dataset, the calculation gives 266.5 meV per atom. The total magnetic moment comes out at 0.00 μB per formula unit. As for the symmetry: I-42d (122). The uncorrected formation energy is -0.195 eV/atom.

a b c (Å): 4.338 4.338 6.700
angles (deg): 71.11 71.11 90.00
Fractional positions:
1 O 0.108 0.625 0.250
2 O 0.375 0.358 0.750
3 O 0.642 0.125 0.250
4 Br 0.000 0.000 0.000
5 Li 0.250 0.750 0.500
6 O 0.875 0.892 0.750
7 Li 0.500 0.500 0.000
8 Br 0.750 0.250 0.500